(1)
A relaxed structure of LaNd2Tl3AgPt2, computed with PBE-GGA.

Computed properties:
calculated total energy	-4.73	eV per atom

Cell lengths 4.0190, 13.8466, 8.0121 Å; angles 90.00, 90.00, 90.00 degrees
Space group Amm2 (No. 38)
One atom of each set of equivalent atoms:
1 La 0.0000 0.0000 0.0000
2 Nd 0.0000 0.2075 0.6249
3 Tl 0.5000 0.0000 0.6757
4 Tl 0.5000 0.1324 0.2877
5 Ag 0.0000 0.0000 0.4166
6 Pt 0.5000 0.1659 0.9180

---

(2)
A relaxed structure of TbY2Sn3Pb4, computed with PBE-GGA.

Computed properties:
calculated total energy	-4.86	eV per atom

Cell lengths 4.4586, 26.7419, 4.5774 Å; angles 90.00, 90.00, 90.00 degrees
Space group Cmmm (No. 65)
One atom of each set of equivalent atoms:
1 Tb 0.0000 0.0000 0.0000
2 Y 0.0000 0.3105 0.5000
3 Sn 0.0000 0.0951 0.5000
4 Sn 0.0000 0.5000 0.5000
5 Pb 0.0000 0.2086 0.0000
6 Pb 0.0000 0.4033 0.0000

---

(3)
A relaxed structure of RbNbCo, computed with PBE-GGA.

Computed properties:
calculated total energy	-4.21	eV per atom

Cell lengths 6.4707, 6.4707, 6.4707 Å; angles 90.00, 90.00, 90.00 degrees
Space group F-43m (No. 216)
One atom of each set of equivalent atoms:
1 Rb 0.0000 0.0000 0.0000
2 Nb 0.0000 0.0000 0.5000
3 Co 0.2500 0.2500 0.7500

---

(4)
A relaxed structure of Ba2SnHg, computed with PBE-GGA.

Computed properties:
calculated total energy	-2.32	eV per atom

Cell lengths 8.2942, 8.2942, 8.2942 Å; angles 90.00, 90.00, 90.00 degrees
Space group F-43m (No. 216)
One atom of each set of equivalent atoms:
1 Ba 0.0000 0.0000 0.0000
2 Ba 0.2500 0.2500 0.2500
3 Sn 0.2500 0.2500 0.7500
4 Hg 0.0000 0.0000 0.5000

---

(5)
A relaxed structure of NaP5W3, computed with PBE-GGA.

Computed properties:
calculated total energy	-7.34	eV per atom

Cell lengths 5.3519, 5.3519, 7.5939 Å; angles 90.00, 90.00, 120.00 degrees
Space group P6/mmm (No. 191)
One atom of each set of equivalent atoms:
1 Na 0.0000 0.0000 0.0000
2 P 0.0000 0.0000 0.5000
3 P 0.3333 0.6667 0.2372
4 W 0.0000 0.5000 0.5000

---

Look up the calculated total energy of the third one. -4.21 eV per atom

---

Among the records above, which one has the highest calculated total energy? Ba2SnHg

---

Among the records above, which one has the highest calculated total energy? Ba2SnHg

---

Number 3 is which compound? RbNbCo